Entry 1:
First-principles (SCAN) data for a PBEsol-optimized structure of LaTl2, as listed in Alexandria.

abc: 5.1728 5.1728 3.6401
angles: 90.00 90.00 120.00
With the nearest neighbours (Å) after each atom.
Space group P6/mmm (No. 191)
Symmetry-distinct sites (fractional):
La: 0.0000 0.0000 0.0000 [1 per cell]  12 Tl 3.50, 2 La 3.64
Tl: 0.3333 0.6667 0.5000 [2 per cell]  3 Tl 2.99

Values from the calculation:
Its energy relative to the elements is -466 meV/atom. The total energy is -189.22 eV/cell. The volume comes out at 28.12 Å³/atom.

---

Entry 2:
First-principles (SCAN) data for a PBEsol-optimized structure of Y2CuSe, as listed in Alexandria.

abc: 3.9001 3.9001 20.7909
angles: 90.00 90.00 120.00
With the nearest neighbours (Å) after each atom.
Space group R-3m (No. 166, hexagonal axes)
Symmetry-distinct sites (fractional):
Y: 0.0000 0.0000 0.2487 [6 per cell]  3 Cu 2.82, 3 Se 2.86
Cu: 0.0000 0.0000 0.5000 [3 per cell]  6 Y 2.82
Se: 0.0000 0.0000 0.0000 [3 per cell]  6 Y 2.86

Values from the calculation:
The total energy is -286.00 eV/cell. The volume comes out at 22.82 Å³/atom. For the excess energy over the best structure of this formula in the dataset, the calculation gives 0 kJ/mol of formula units.

---

Entry 3:
First-principles (SCAN) data for a PBEsol-optimized structure of SrCoSe2, as listed in Alexandria.

abc: 3.7988 6.9046 7.1557
angles: 90.00 90.00 90.00
With the nearest neighbours (Å) after each atom.
Space group Cmmm (No. 65)
Symmetry-distinct sites (fractional):
Sr: 0.0000 0.0000 0.0000 [2 per cell]  4 Se 2.88
Co: 0.0000 0.0000 0.5000 [2 per cell]  4 Se 2.37
Se: 0.0000 0.5000 0.3024 [4 per cell]  2 Co 2.37

Values from the calculation:
The total energy is -165.39 eV/cell. The volume comes out at 23.46 Å³/atom. For the excess energy over the best structure of this formula in the dataset, the calculation gives 0 kJ/mol of formula units.